Here is In2As2Ir after structural relaxation from Alexandria via LeMat-Bulk. Energies are from PBE-GGA.

a b c (Å): 6.2457 6.2457 5.8447
angles (deg): 90.00 90.00 90.00
Space group P4/mbm (No. 127)
One atom of each set of equivalent atoms:
In  0.1963  0.3037  0.0000 x4
As  0.1376  0.6376  0.5000 x4
Ir  0.0000  0.0000  0.5000 x2

## Properties
Total magnetic moment, μB per formula unit: 0.00
ΔH_f (0 K), eV per atom: -0.04
Crystal system: tetragonal


Here is Ac8In2Co3 after structural relaxation from Alexandria via LeMat-Bulk. Energies are from PBE-GGA.

a b c (Å): 16.6529 8.3854 7.3923
angles (deg): 90.00 107.78 90.00
Space group C2/m (No. 12)
One atom of each set of equivalent atoms:
Ac  0.0973  0.2385  0.3921 x8
Ac  0.1040  0.0000  0.8991 x4
Ac  0.1129  0.5000  0.9603 x4
In  0.2404  0.5000  0.6683 x4
Co  0.0000  0.0000  0.5000 x2
Co  0.0000  0.2516  0.0000 x4

## Properties
Total magnetic moment, μB per formula unit: 0.00
ΔH_f (0 K), eV per atom: -0.05
Crystal system: monoclinic


Here is Pr6Hg2Pb after structural relaxation from Alexandria via LeMat-Bulk. Energies are from PBE-GGA.

a b c (Å): 9.7433 10.2124 11.9121
angles (deg): 90.00 90.00 90.00
Space group Immm (No. 71)
One atom of each set of equivalent atoms:
Pr  0.0000  0.1971  0.2296 x8
Pr  0.2066  0.3056  0.5000 x8
Pr  0.2146  0.5000  0.1742 x8
Hg  0.0000  0.3499  0.0000 x4
Hg  0.0000  0.5000  0.3698 x4
Pb  0.0000  0.0000  0.0000 x2
Pb  0.0000  0.0000  0.5000 x2

## Properties
Total magnetic moment, μB per formula unit: 0.00
ΔH_f (0 K), eV per atom: -0.29
Crystal system: orthorhombic